## TaTcI2 (SCAN)

Data for TaTcI2 at its PBEsol-relaxed geometry.

Structure (extended XYZ):
```
4
Lattice="-4.2222 -1.6481 1.3909 -1.4430 -4.2965 -1.3911 -0.2441 -3.5486 3.1344" Properties=species:S:1:pos:R:3 pbc="T T T"
I -1.4773 -2.3733 0.7835
I -4.4319 -7.1199 2.3506
Tc 0.0000 0.0000 0.0000
Ta -2.9546 -4.7466 1.5671
```

Properties
spin magnetization: 0.000 μB/atom
space group: Fm-3m
uncorrected formation energy: 1129 meV per atom

***

## TaTc2I (SCAN)

Data for TaTc2I at its PBEsol-relaxed geometry.

Structure (extended XYZ):
```
4
Lattice="-0.2758 3.2631 -3.1620 -2.7086 -0.5577 -3.6159 -3.8037 2.4691 -0.3970" Properties=species:S:1:pos:R:3 pbc="T T T"
I 0.0000 0.0000 0.0000
Tc -1.6970 1.2936 -1.7937
Tc -5.0911 3.8809 -5.3812
Ta -3.3941 2.5872 -3.5875
```

Properties
spin magnetization: 0.000 μB/atom
space group: Fm-3m
uncorrected formation energy: 692 meV per atom

***

## Ta3TeI (SCAN)

Data for Ta3TeI at its PBEsol-relaxed geometry.

Structure (extended XYZ):
```
5
Lattice="-3.6399 -0.9898 3.2481 -0.6345 -4.4795 -2.0762 3.3358 -1.9322 3.1493" Properties=species:S:1:pos:R:3 pbc="T T T"
I 0.0000 0.0000 0.0000
Te -0.4694 -3.7008 2.1606
Ta -0.3173 -2.2397 -1.0381
Ta 1.6679 -0.9661 1.5747
Ta -1.8200 -0.4949 1.6241
```

Properties
spin magnetization: 0.000 μB/atom
space group: Pm-3m
uncorrected formation energy: 2162 meV per atom

***

## TaTeI2 (SCAN)

Data for TaTeI2 at its PBEsol-relaxed geometry.

Structure (extended XYZ):
```
4
Lattice="5.1401 0.0000 0.0000 2.5700 4.4514 0.0000 2.5700 1.4838 4.1968" Properties=species:S:1:pos:R:3 pbc="T T T"
I 2.5700 1.4838 1.0492
I 7.7101 4.4514 3.1476
Te 0.0000 0.0000 0.0000
Ta 5.1401 2.9676 2.0984
```

Properties
spin magnetization: 0.000 μB/atom
space group: Fm-3m
uncorrected formation energy: 1035 meV per atom